# 1
Computed, not measured: a geometry-optimized Li4U3TiSe8 structure at the PBE level of DFT.

**ΔE_f (raw)**: -1184 meV/atom
**Density**: 6649 kg/m3
**Total moment**: 10.0 μB/f.u.
**E_tot**: -96.2 eV for the cell shown

```
Li4U3TiSe8
1.0
7.8676 0.0000 0.0000
0.0000 8.0298 0.1084
-3.9338 -3.9302 5.5658
Se Li U Ti
8 4 3 1
Cartesian
3.9338 4.1446 2.9261
-2.0619 -1.9006 5.5410
3.9338 -0.0305 2.8923
0.0000 4.1302 2.7819
0.0000 -0.0450 2.7480
1.8719 6.0003 0.1332
5.9957 6.0003 0.1332
2.0619 -1.9006 5.5410
-1.9669 -1.9651 2.7829
1.9669 -1.9651 2.7829
0.0000 0.0000 0.0000
3.9338 0.0000 0.0000
1.9669 2.0498 2.8371
3.9338 4.0149 0.0542
-1.9669 2.0498 2.8371
0.0000 4.0149 0.0542
```


# 2
Computed, not measured: a geometry-optimized Li2YTiSe4 structure at the PBE level of DFT.

**ΔE_f (raw)**: -1409 meV/atom
**Density**: 4570 kg/m3
**Total moment**: 1.0 μB/f.u.
**E_tot**: -43.4 eV for the cell shown

```
Li2YTiSe4
1.0
3.8784 0.0000 0.0000
0.0000 6.7490 0.1193
0.0000 -2.3561 6.4341
Y Ti Se Li
1 1 4 2
Cartesian
0.0000 0.0000 0.0000
1.9392 3.3745 0.0596
0.0000 0.0381 4.9211
0.0000 4.3548 1.6323
1.9392 3.1707 4.9022
1.9392 1.2222 1.6512
1.9392 -1.1780 3.2171
0.0000 2.1964 3.2767
```


# 3
Computed, not measured: a geometry-optimized Li3Y2TiSe6 structure at the PBE level of DFT.

**ΔE_f (raw)**: -1502 meV/atom
**Density**: 4544 kg/m3
**Total moment**: 1.0 μB/f.u.
**E_tot**: -65.5 eV for the cell shown

```
Li3Y2TiSe6
1.0
6.8496 0.0034 0.0006
-3.4202 5.9346 0.0006
-1.1438 -1.9804 6.4724
Ti Se Li Y
1 6 3 2
Cartesian
0.0000 0.0000 0.0000
2.1492 0.0071 1.6198
-0.0757 -0.1310 4.8900
0.1365 3.9506 4.8539
2.3614 4.0887 1.5836
3.3537 2.0925 4.8539
-1.0680 1.8651 1.6198
1.1428 1.9788 3.2368
-2.2871 3.9597 3.2368
4.5728 -0.0021 3.2368
-0.0074 3.9636 0.0006
3.4368 1.9745 0.0006
```


# 4
Computed, not measured: a geometry-optimized Li3ZrTi2Se6 structure at the PBE level of DFT.

**ΔE_f (raw)**: -1244 meV/atom
**Density**: 4834 kg/m3
**Total moment**: 2.3 μB/f.u.
**E_tot**: -65.9 eV for the cell shown

```
Li3ZrTi2Se6
1.0
6.4499 -0.0136 -0.0007
-3.2351 5.5799 -0.0007
-1.0727 -1.8574 6.5139
Se Ti Zr Li
6 2 1 3
Cartesian
3.2357 1.7932 4.9075
0.0400 0.0692 4.9835
-1.0937 1.9156 1.6050
2.2058 0.0100 1.6050
2.1020 3.6396 1.5290
-0.0638 3.6988 4.9075
3.3363 1.7846 -0.0007
-0.1216 3.7817 -0.0007
0.0000 0.0000 0.0000
4.3932 -0.0643 3.2563
1.0710 1.8544 3.2563
-2.2512 3.7731 3.2563
```


# 5
Computed, not measured: a geometry-optimized Li3Zr3TiSe8 structure at the PBE level of DFT.

**ΔE_f (raw)**: -1308 meV/atom
**Density**: 5028 kg/m3
**Total moment**: 0.5 μB/f.u.
**E_tot**: -86.8 eV for the cell shown

```
Li3Zr3TiSe8
1.0
-0.9941 -4.1712 6.1272
-4.0934 -1.3031 -6.1159
7.6540 -2.0261 -0.1374
Li Zr Se Ti
3 3 8 1
Cartesian
-2.0467 -0.6516 -3.0580
0.0000 0.0000 0.0000
-2.5438 -2.7371 0.0057
3.3300 -3.0987 2.9949
1.7803 -1.6646 -3.1267
1.2833 -3.7502 -0.0630
-0.3979 -2.1865 -1.5533
1.7258 -1.5373 1.4530
1.2151 -3.6800 4.6006
0.8407 -5.9631 -1.5791
3.4533 -3.1507 -1.5848
2.9644 -5.3139 1.4272
-0.8868 -4.3497 1.4587
1.3514 -3.8204 -4.7267
3.8270 -1.0131 -0.0687
```


# 6
Computed, not measured: a geometry-optimized Li4Zr3TiSe8 structure at the PBE level of DFT.

**ΔE_f (raw)**: -1296 meV/atom
**Density**: 5064 kg/m3
**Total moment**: 1.2 μB/f.u.
**E_tot**: -89.8 eV for the cell shown

```
Li4Zr3TiSe8
1.0
-4.9258 -5.5376 1.1466
3.3689 -4.1940 -5.7826
4.3207 2.4027 5.6396
Li Se Zr Ti
4 8 3 1
Cartesian
-2.4629 -2.7688 0.5733
0.0000 0.0000 0.0000
-0.3026 -1.5675 3.3931
2.1604 1.2013 2.8198
1.3209 -4.4871 -4.0277
1.4428 -2.8419 5.0313
-0.6657 -4.0143 2.2793
1.0112 -6.1152 -0.6634
-1.2013 -7.3225 -3.4406
1.7525 -1.2137 1.6670
3.4294 -3.3147 -1.2757
3.9650 -0.0065 4.4442
-0.7785 -4.8658 -2.3180
1.3819 -3.6645 0.5018
3.8448 -0.8957 -0.0715
1.6844 -2.0970 -2.8913
```


# 7
Computed, not measured: a geometry-optimized Li2ZrTi3Se6 structure at the PBE level of DFT.

**ΔE_f (raw)**: -1143 meV/atom
**Density**: 5291 kg/m3
**Total moment**: 0.1 μB/f.u.
**E_tot**: -70.7 eV for the cell shown

```
Li2ZrTi3Se6
1.0
-4.4949 4.5857 -0.8920
-1.1996 -6.1164 -1.7829
-0.4513 -0.6835 6.5418
Ti Zr Se Li
3 1 6 2
Cartesian
-4.1419 2.3648 2.2224
-2.0038 -4.5790 1.6444
-3.0729 -1.1071 1.9334
0.0000 0.0000 0.0000
-4.4125 -1.3356 -0.2769
-0.9985 -2.3756 0.8097
-4.0289 -3.4705 2.7548
-1.7333 -0.8786 4.1438
-2.1168 1.2564 1.1121
-5.1472 0.1614 3.0571
-3.3801 0.9652 -1.1934
-2.3144 -2.4959 -1.4815
```


# 8
Computed, not measured: a geometry-optimized LiZrTiSe4 structure at the PBE level of DFT.

**ΔE_f (raw)**: -1238 meV/atom
**Density**: 4697 kg/m3
**Total moment**: 0.8 μB/f.u.
**E_tot**: -81.9 eV for the cell shown

```
LiZrTiSe4
1.0
7.8619 0.0000 0.0000
3.9309 6.6496 0.1378
3.9309 2.1570 6.2915
Li Ti Se Zr
2 2 8 2
Cartesian
7.8619 4.5156 0.9383
7.8619 4.2910 5.4910
0.0000 0.0000 0.0000
3.9309 4.4033 3.2147
9.9952 5.5406 1.6866
9.9952 3.2660 4.7427
3.9309 2.2635 1.6894
7.8619 6.7019 4.8559
7.8619 2.1047 1.5734
11.7928 6.5431 4.7400
5.7286 3.2660 4.7427
5.7286 5.5406 1.6866
1.9655 1.0785 3.1457
5.8964 1.0785 3.1457
```


# 9
Computed, not measured: a geometry-optimized Li4ZrTi3Se8 structure at the PBE level of DFT.

**ΔE_f (raw)**: -1233 meV/atom
**Density**: 4804 kg/m3
**Total moment**: 2.9 μB/f.u.
**E_tot**: -87.5 eV for the cell shown

```
Li4ZrTi3Se8
1.0
7.4018 0.0000 0.0000
0.0000 7.7876 0.2647
-3.7009 -3.6970 5.2372
Li Se Ti Zr
4 8 3 1
Cartesian
0.0000 0.0000 0.0000
3.7009 0.0000 0.0000
1.8504 -1.8485 2.6186
-1.8504 -1.8485 2.6186
3.7009 0.1660 2.6636
3.7009 3.9180 2.7651
0.0000 3.9246 2.8384
1.8018 2.1246 5.3883
-1.8018 2.1246 5.3883
0.0000 0.1726 2.7368
5.5027 1.9660 0.1137
1.8991 1.9660 0.1137
-1.8504 2.0453 2.7510
3.7009 3.8938 0.1324
1.8504 2.0453 2.7510
0.0000 3.8938 0.1324
```


# 10
Computed, not measured: a geometry-optimized Li2Zr2TiSe6 structure at the PBE level of DFT.

**ΔE_f (raw)**: -1297 meV/atom
**Density**: 5014 kg/m3
**Total moment**: 0.3 μB/f.u.
**E_tot**: -64.0 eV for the cell shown

```
Li2Zr2TiSe6
1.0
-2.4141 4.4073 -4.0338
2.5612 -5.4325 -2.3348
-5.9606 -2.5835 2.4926
Zr Ti Se Li
2 1 6 2
Cartesian
-2.0765 -3.4463 -1.6545
-3.7370 -0.1624 -2.2215
-2.9803 -1.2917 1.2463
-0.6107 -3.0101 -3.8993
-4.3222 -2.7016 -2.9891
-2.2061 0.1452 -4.4441
-5.2028 -0.5987 0.0232
-1.4913 -0.9072 -0.8870
-3.6074 -3.7539 0.5680
1.7053 -3.7399 -2.6271
-1.5582 2.7146 -3.7416
```


# 11
Computed, not measured: a geometry-optimized LiTlSe2 structure at the PBE level of DFT.

**ΔE_f (raw)**: -577 meV/atom
**Density**: 5462 kg/m3
**Total moment**: 0.0 μB/f.u.
**E_tot**: -13.6 eV for the cell shown

```
LiTlSe2
1.0
-5.5043 -2.9324 3.9946
-4.9244 -5.5013 0.5820
-2.2931 -5.8081 3.9825
Tl Li Se
1 1 2
Cartesian
-6.5015 -7.2783 4.3741
-12.5749 -14.0775 8.4603
-8.0681 -9.0321 5.4281
-1.4922 -1.6705 1.0039
```


# 12
Computed, not measured: a geometry-optimized LiTl2Se2 structure at the PBE level of DFT.

**ΔE_f (raw)**: -518 meV/atom
**Density**: 6066 kg/m3
**Total moment**: 0.0 μB/f.u.
**E_tot**: -32.4 eV for the cell shown

```
LiTl2Se2
1.0
-1.4267 4.2818 3.9060
-4.5195 -2.5008 5.6511
4.0320 -1.1186 7.2595
Se Li Tl
4 2 4
Cartesian
-3.2727 0.2678 7.6320
-2.1540 0.9433 11.8607
1.3585 0.3947 9.1845
0.2398 -0.2808 4.9559
-1.4561 -0.5456 13.7477
-0.4581 1.2080 3.0689
-0.3328 1.8004 7.0258
-2.2452 -1.7846 5.6968
-1.5814 -1.1379 9.7908
0.3310 2.4471 11.1198
```


Q: The lowest E_tot belongs to which entry?
A: Li4U3TiSe8


Q: Among the records above, which one has the highest ΔE_f (raw)?
A: LiTl2Se2